(1)
Below is crystalline NdScIr at its relaxed geometry, with properties calculated at the GGA-PBE level.

abc: 4.6762 4.6762 4.6762
angles: 60.00 60.00 60.00
Fractional coordinates of all 3 atoms:
Ir (0.2500, 0.2500, 0.2500)
Sc (0.7500, 0.7500, 0.7500)
Nd (0.0000, 0.0000, 0.0000)

Summary:
Space group = No. 216
M_tot = 0.0 μB/cell
Theoretical density = 8.760 Mg/m³

(2)
Below is crystalline NdScIr at its relaxed geometry, with properties calculated at the GGA-PBE level.

abc: 4.5961 4.5961 4.5961
angles: 60.00 60.00 60.00
Fractional coordinates of all 3 atoms:
Ir (0.2500, 0.2500, 0.2500)
Sc (0.0000, 0.0000, 0.0000)
Nd (0.7500, 0.7500, 0.7500)

Summary:
Space group = No. 216
M_tot = 0.0 μB/cell
Theoretical density = 9.225 Mg/m³

If you had to bet on the most stable structure above, which would it be? Bet on (2).